Computed, not measured: a geometry-optimized K2ScHg structure at the GGA-PBE level of DFT.

Results
Symmetry   No. 166
E   -22.66 eV per cell
Energy of formation   318.9 meV per atom
Energy above the most stable polymorph in this dataset   0.290 eV per atom

Cell lengths 3.6661, 3.6661, 38.1537 Å; angles 90.00, 90.00, 120.00 degrees
Element x y z (fractional)
1 K 0.0000 0.0000 0.2454
2 K 0.0000 0.0000 0.7546
3 K 0.3333 0.6667 0.4212
4 K 0.3333 0.6667 0.9121
5 K 0.6667 0.3333 0.0879
6 K 0.6667 0.3333 0.5788
7 Sc 0.0000 0.0000 0.0000
8 Sc 0.3333 0.6667 0.6667
9 Sc 0.6667 0.3333 0.3333
10 Hg 0.0000 0.0000 0.5000
11 Hg 0.3333 0.6667 0.1667
12 Hg 0.6667 0.3333 0.8333



Computed, not measured: a geometry-optimized Pm4SbAs2 structure at the GGA-PBE level of DFT.

Results
Symmetry   No. 63
E   -81.74 eV per cell

Cell lengths 7.2669, 7.2669, 14.0367 Å; angles 90.00, 90.00, 145.75 degrees
Element x y z (fractional)
1 Pm 0.0000 0.0000 0.0000
2 Pm 0.0000 0.0000 0.5000
3 Pm 0.2679 0.7321 0.6194
4 Pm 0.2679 0.7321 0.8806
5 Pm 0.4447 0.5553 0.2500
6 Pm 0.5553 0.4447 0.7500
7 Pm 0.7321 0.2679 0.1194
8 Pm 0.7321 0.2679 0.3806
9 Sb 0.1077 0.8923 0.2500
10 Sb 0.8923 0.1077 0.7500
11 As 0.3642 0.6358 0.0607
12 As 0.3642 0.6358 0.4393
13 As 0.6358 0.3642 0.5607
14 As 0.6358 0.3642 0.9393



Computed, not measured: a geometry-optimized BaMnBe2 structure at the GGA-PBE level of DFT.

Results
Symmetry   No. 225
E   -59.33 eV per cell
Energy of formation   928.1 meV per atom
Energy above the most stable polymorph in this dataset   0.634 eV per atom

Cell lengths 6.9112, 6.9112, 6.9112 Å; angles 90.00, 90.00, 90.00 degrees
Element x y z (fractional)
1 Ba 0.0000 0.0000 0.0000
2 Ba 0.0000 0.5000 0.5000
3 Ba 0.5000 0.0000 0.5000
4 Ba 0.5000 0.5000 0.0000
5 Mn 0.0000 0.0000 0.5000
6 Mn 0.0000 0.5000 0.0000
7 Mn 0.5000 0.0000 0.0000
8 Mn 0.5000 0.5000 0.5000
9 Be 0.2500 0.2500 0.2500
10 Be 0.2500 0.2500 0.7500
11 Be 0.2500 0.7500 0.2500
12 Be 0.2500 0.7500 0.7500
13 Be 0.7500 0.2500 0.2500
14 Be 0.7500 0.2500 0.7500
15 Be 0.7500 0.7500 0.2500
16 Be 0.7500 0.7500 0.7500



Computed, not measured: a geometry-optimized Pa5GaTc5 structure at the GGA-PBE level of DFT.

Results
Symmetry   No. 12
E   -102.98 eV per cell
Energy of formation   -58.7 meV per atom

Cell lengths 6.5278, 6.5278, 8.2202 Å; angles 108.46, 108.46, 47.35 degrees
Element x y z (fractional)
1 Pa 0.0000 0.0000 0.0000
2 Pa 0.3171 0.3171 0.1612
3 Pa 0.3283 0.3283 0.6613
4 Pa 0.6717 0.6717 0.3387
5 Pa 0.6829 0.6829 0.8388
6 Ga 0.0000 0.0000 0.5000
7 Tc 0.1316 0.1316 0.3174
8 Tc 0.1398 0.1398 0.8160
9 Tc 0.5000 0.5000 0.5000
10 Tc 0.8602 0.8602 0.1840
11 Tc 0.8684 0.8684 0.6826



Computed, not measured: a geometry-optimized ZrPb2W structure at the GGA-PBE level of DFT.

Results
Symmetry   No. 12
E   -52.91 eV per cell
Energy of formation   616.3 meV per atom
Energy above the most stable polymorph in this dataset   0.269 eV per atom

Cell lengths 6.3063, 9.4395, 3.1773 Å; angles 90.00, 109.72, 90.00 degrees
Element x y z (fractional)
1 Zr 0.0000 0.0000 0.0000
2 Zr 0.5000 0.5000 0.0000
3 Pb 0.2500 0.2500 0.5000
4 Pb 0.2500 0.7500 0.5000
5 Pb 0.7500 0.2500 0.5000
6 Pb 0.7500 0.7500 0.5000
7 W 0.0000 0.5000 0.0000
8 W 0.5000 0.0000 0.0000



Computed, not measured: a geometry-optimized TcSbIr2 structure at the GGA-PBE level of DFT.

Results
Symmetry   No. 47
E   -31.02 eV per cell

Cell lengths 2.9320, 4.6795, 4.7103 Å; angles 90.00, 90.00, 90.00 degrees
Element x y z (fractional)
1 Tc 0.0000 0.0000 0.0000
2 Sb 0.5000 0.5000 0.0000
3 Ir 0.0000 0.5000 0.5000
4 Ir 0.5000 0.0000 0.5000



> Among the records above, which one has the lowest E?

Pa5GaTc5